No. 1
Density functional theory data (PBE) for a relaxed structure of Zr3HgC.

The structure belongs to space group Cmcm (No. 63); the cell edges are 6.4903, 10.6055 and 6.3730 Å and the angles 90.00°, 90.00° and 90.00°. The asymmetric unit holds Zr at (0.0000, 0.0000, 0.0000), Zr at (0.2451, 0.2422, 0.2500), Hg at (0.0000, 0.4932, 0.2500) and C at (0.0000, 0.1409, 0.7500).

The calculation puts the energy of formation from the pure elements at 203 meV/atom. For the relative energy among the computed polymorphs, the calculation gives 16.299 kcal/mol of atoms.

=====

No. 2
Density functional theory data (PBE) for a relaxed structure of Ta2PbW.

The structure belongs to space group Cmmm (No. 65); the cell edges are 5.9088, 7.6931 and 3.3262 Å and the angles 90.00°, 90.00° and 90.00°. The asymmetric unit holds Ta at (0.2500, 0.2500, 0.0000), Pb at (0.0000, 0.0000, 0.5000) and W at (0.0000, 0.5000, 0.5000).

The calculation puts the energy of formation from the pure elements at 458 meV/atom.

=====

No. 3
Density functional theory data (PBE) for a relaxed structure of Te2AuCl.

The structure belongs to space group Pmmm (No. 47); the cell edges are 3.3995, 4.6814 and 6.4623 Å and the angles 90.00°, 90.00° and 90.00°. The asymmetric unit holds Te at (0.0000, 0.0000, 0.0000), Te at (0.5000, 0.0000, 0.5000), Au at (0.0000, 0.5000, 0.5000) and Cl at (0.5000, 0.5000, 0.0000).

The uncorrected formation energy comes out at 75 kJ/mol of formula units.

=====

No. 4
Density functional theory data (PBE) for a relaxed structure of LaSm2DyBi5.

The structure belongs to space group P4/mmm (No. 123); the cell edges are 5.4164, 5.4164 and 12.1870 Å and the angles 90.00°, 90.00° and 90.00°. The asymmetric unit holds La at (0.0000, 0.0000, 0.0000), Sm at (0.5000, 0.5000, 0.2684), Dy at (0.0000, 0.0000, 0.5000), Bi at (0.0000, 0.0000, 0.2510), Bi at (0.0000, 0.5000, 0.5000) and Bi at (0.5000, 0.5000, 0.0000).

The calculation puts the energy of formation from the pure elements at -138 meV/atom.

=====

No. 5
Density functional theory data (PBE) for a relaxed structure of Li3Mg8.

The structure belongs to space group C2/m (No. 12); the cell edges are 10.5211, 4.9555 and 9.0051 Å and the angles 90.00°, 93.52° and 90.00°. The asymmetric unit holds Li at (0.0000, 0.0000, 0.0000), Li at (0.0903, 0.0000, 0.6296), Mg at (0.0466, 0.5000, 0.8173), Mg at (0.1410, 0.5000, 0.4627), Mg at (0.1683, 0.0000, 0.2673) and Mg at (0.2386, 0.5000, 0.0964).

The calculation puts the energy of formation from the pure elements at -40 meV/atom.

=====

No. 6
Density functional theory data (PBE) for a relaxed structure of ScUAu2.

The structure belongs to space group P4/mmm (No. 123); the cell edges are 3.2952, 3.2952 and 7.7472 Å and the angles 90.00°, 90.00° and 90.00°. The asymmetric unit holds Sc at (0.0000, 0.0000, 0.0000), U at (0.0000, 0.0000, 0.5000) and Au at (0.5000, 0.5000, 0.2210).

The calculation puts the energy of formation from the pure elements at -397 meV/atom. For the relative energy among the computed polymorphs, the calculation gives 0.000 kcal/mol of atoms.

=====

Short version: DFT total energy = -6.83, -9.63, -2.66, -4.40, -1.72, -6.44 eV per atom, in the order given.
Short version: DOS at the Fermi energy = 18.6, 4.5, 2.4, 7.0, 6.4, 8.1 states/eV/cell, in the order given.